This record from the Alexandria database describes RbVI2O8 after structural relaxation. The functional is PBE+U.

```
data_RbVI2O8
_chemical_formula_sum 'Rb2 V2 I4 O16'
_cell_length_a 5.363
_cell_length_b 8.215
_cell_length_c 10.162
_cell_angle_alpha 109.88
_cell_angle_beta 91.46
_cell_angle_gamma 90.98
_symmetry_space_group_name_H-M 'P 1'
_symmetry_Int_Tables_number 1
loop_
_symmetry_equiv_pos_as_xyz
'x,y,z'
loop_
_atom_site_label
_atom_site_type_symbol
_atom_site_fract_x
_atom_site_fract_y
_atom_site_fract_z
Rb1 Rb 0.250 0.809 0.084
Rb2 Rb 0.750 0.191 0.916
V1 V 0.777 0.637 0.305
V2 V 0.223 0.363 0.695
I1 I 0.662 0.145 0.443
I2 I 0.731 0.628 0.764
I3 I 0.269 0.372 0.236
I4 I 0.338 0.855 0.557
O1 O 0.350 0.745 0.688
O2 O 0.362 0.026 0.391
O3 O 0.055 0.342 0.549
O4 O 0.223 0.173 0.091
O5 O 0.530 0.465 0.163
O6 O 0.450 0.671 0.401
O7 O 0.016 0.495 0.175
O8 O 0.638 0.974 0.609
O9 O 0.777 0.827 0.909
O10 O 0.550 0.329 0.599
O11 O 0.806 0.821 0.271
O12 O 0.470 0.535 0.837
O13 O 0.984 0.505 0.825
O14 O 0.945 0.658 0.451
O15 O 0.650 0.255 0.312
O16 O 0.194 0.179 0.729
```

Computed properties:
Total moment = 0.000 μB/cell
ΔE to the lowest computed polymorph = 0 meV/atom